# 1
# InGaTeC2 PBE optimized geometry
# **Formation energy without anion corrections**: 1016 kJ/mol of formula units
# **Calculated total energy**: -3.365 eV per atom
# **Calculated volume**: 111 Å³/cell
# **M_tot**: 0.000 μB per cell
data_InGaTeC2
_cell_length_a 4.284
_cell_length_b 6.031
_cell_length_c 4.284
_cell_angle_alpha 90.00
_cell_angle_beta 90.00
_cell_angle_gamma 90.00
_symmetry_space_group_name_H-M 'P 1'
_symmetry_Int_Tables_number 1
loop_
_symmetry_equiv_pos_as_xyz
'x,y,z'
loop_
_atom_site_label
_atom_site_fract_x
_atom_site_fract_y
_atom_site_fract_z
C1 0.000 0.000 0.500
C2 0.500 0.000 0.000
Te1 0.000 0.000 0.000
Ga1 0.500 0.500 0.500
In1 0.000 0.500 0.000

---

# 2
# LaFeRe3 PBE optimized geometry
# **Calculated total energy**: -9.118 eV per atom
# **Energy of formation**: 1.0284 eV/atom
# **Calculated volume**: 96 Å³/cell
# **Energy relative to the lowest polymorph listed for this composition**: 0 meV/atom
# **M_tot**: 0.000 μB per cell
data_LaFeRe3
_cell_length_a 4.577
_cell_length_b 4.577
_cell_length_c 4.577
_cell_angle_alpha 90.00
_cell_angle_beta 90.00
_cell_angle_gamma 90.00
_symmetry_space_group_name_H-M 'P 1'
_symmetry_Int_Tables_number 1
loop_
_symmetry_equiv_pos_as_xyz
'x,y,z'
loop_
_atom_site_label
_atom_site_fract_x
_atom_site_fract_y
_atom_site_fract_z
Re1 0.000 0.500 0.000
Re2 0.500 0.000 0.000
Re3 0.000 0.000 0.500
La1 0.500 0.500 0.500
Fe1 0.000 0.000 0.000

---

# 3
# Tb7Co2Ag2 PBE optimized geometry
# **Calculated total energy**: -4.856 eV per atom
# **Energy of formation**: -0.0992 eV/atom
# **Calculated volume**: 292 Å³/cell
# **Energy relative to the lowest polymorph listed for this composition**: 71 meV/atom
# **M_tot**: 0.000 μB per cell
data_Tb7Co2Ag2
_cell_length_a 6.670
_cell_length_b 6.979
_cell_length_c 6.670
_cell_angle_alpha 90.00
_cell_angle_beta 110.01
_cell_angle_gamma 90.00
_symmetry_space_group_name_H-M 'P 1'
_symmetry_Int_Tables_number 1
loop_
_symmetry_equiv_pos_as_xyz
'x,y,z'
loop_
_atom_site_label
_atom_site_fract_x
_atom_site_fract_y
_atom_site_fract_z
Co1 0.705 0.000 0.295
Co2 0.295 0.000 0.705
Tb1 0.000 0.752 0.500
Tb2 0.000 0.248 0.500
Tb3 0.500 0.248 0.000
Tb4 0.500 0.761 0.500
Tb5 0.500 0.239 0.500
Tb6 0.500 0.752 0.000
Tb7 0.000 0.000 0.000
Ag1 0.821 0.500 0.821
Ag2 0.179 0.500 0.179